First-principles (PBE-GGA) data for a relaxed structure of KRhSe2, as listed in Alexandria.

Geometry as POSCAR:
```
KRhSe2
1.0
-3.797 -0.440 -0.723
1.637 -3.413 -6.520
-2.072 -2.610 2.006
K Se Rh
1 2 1
direct
0.241 0.471 0.398 K
0.799 0.798 0.283 Se
0.020 0.132 0.839 Se
0.410 0.964 0.060 Rh
```

Values from the calculation:
Formation energy without anion corrections ... -0.72 eV per atom
Total energy ... -18.29 eV for the cell shown

First-principles (PBE-GGA) data for a relaxed structure of CaScSe, as listed in Alexandria.

Geometry as POSCAR:
```
CaScSe
1.0
3.830 0.000 0.000
-1.915 3.317 0.000
0.000 0.000 25.742
Se Ca Sc
4 4 4
direct
0.667 0.333 0.365 Se
0.333 0.667 0.115 Se
0.333 0.667 0.635 Se
0.667 0.333 0.885 Se
0.667 0.333 0.709 Ca
0.333 0.667 0.291 Ca
0.333 0.667 0.437 Ca
0.667 0.333 0.563 Ca
0.667 0.333 0.177 Sc
0.333 0.667 0.952 Sc
0.333 0.667 0.823 Sc
0.667 0.333 0.048 Sc
```

Values from the calculation:
Formation energy without anion corrections ... -1.00 eV per atom
Total energy ... -59.28 eV for the cell shown
Offset from the most stable computed form ... 17.3 meV/atom